TmB4Rh4 | GGA-PBEsol | optimized geometry

Properties
DOS(E_F) = 0.46 states/eV/atom
calculated total energy = -7.927 eV per atom
energy of formation from the pure elements = -0.65 eV/atom

a = 5.263 Å, b = 5.263 Å, c = 7.334 Å
α = 90.00°, β = 90.00°, γ = 90.00°
Element x y z (fractional)
Tm (0.250, 0.750, 0.250)
Tm (0.750, 0.250, 0.750)
B (0.080, 0.250, 0.101)
B (0.250, 0.080, 0.601)
B (0.250, 0.420, 0.601)
B (0.420, 0.250, 0.101)
B (0.580, 0.750, 0.899)
B (0.750, 0.580, 0.399)
B (0.750, 0.920, 0.399)
B (0.920, 0.750, 0.899)
Rh (0.001, 0.750, 0.604)
Rh (0.250, 0.501, 0.896)
Rh (0.250, 0.999, 0.896)
Rh (0.499, 0.750, 0.604)
Rh (0.501, 0.250, 0.396)
Rh (0.750, 0.001, 0.104)
Rh (0.750, 0.499, 0.104)
Rh (0.999, 0.250, 0.396)


Tm2B6Rh | GGA-PBEsol | optimized geometry

Properties
DOS(E_F) = 0.29 states/eV/atom
calculated total energy = -7.420 eV per atom
energy of formation from the pure elements = -0.75 eV/atom

a = 9.047 Å, b = 11.362 Å, c = 3.561 Å
α = 90.00°, β = 90.00°, γ = 90.00°
Element x y z (fractional)
Tm (0.056, 0.126, 0.000)
Tm (0.178, 0.414, 0.000)
Tm (0.322, 0.914, 0.000)
Tm (0.444, 0.626, 0.000)
Tm (0.556, 0.374, 0.000)
Tm (0.678, 0.086, 0.000)
Tm (0.822, 0.586, 0.000)
Tm (0.944, 0.874, 0.000)
B (0.018, 0.287, 0.500)
B (0.053, 0.566, 0.500)
B (0.108, 0.971, 0.500)
B (0.133, 0.816, 0.500)
B (0.206, 0.236, 0.500)
B (0.250, 0.079, 0.500)
B (0.250, 0.579, 0.500)
B (0.294, 0.736, 0.500)
B (0.367, 0.316, 0.500)
B (0.392, 0.471, 0.500)
B (0.447, 0.066, 0.500)
B (0.482, 0.787, 0.500)
B (0.518, 0.213, 0.500)
B (0.553, 0.934, 0.500)
B (0.608, 0.529, 0.500)
B (0.633, 0.684, 0.500)
B (0.706, 0.264, 0.500)
B (0.750, 0.421, 0.500)
B (0.750, 0.921, 0.500)
B (0.794, 0.764, 0.500)
B (0.867, 0.184, 0.500)
B (0.892, 0.029, 0.500)
B (0.947, 0.434, 0.500)
B (0.982, 0.713, 0.500)
Rh (0.140, 0.679, 0.000)
Rh (0.360, 0.179, 0.000)
Rh (0.640, 0.821, 0.000)
Rh (0.860, 0.321, 0.000)


What did the first record say?
TmB4Rh4 | GGA-PBEsol | optimized geometry

Properties
DOS(E_F) = 0.46 states/eV/atom
calculated total energy = -7.927 eV per atom
energy of formation from the pure elements = -0.65 eV/atom

a = 5.263 Å, b = 5.263 Å, c = 7.334 Å
α = 90.00°, β = 90.00°, γ = 90.00°
Element x y z (fractional)
Tm (0.250, 0.750, 0.250)
Tm (0.750, 0.250, 0.750)
B (0.080, 0.250, 0.101)
B (0.250, 0.080, 0.601)
B (0.250, 0.420, 0.601)
B (0.420, 0.250, 0.101)
B (0.580, 0.750, 0.899)
B (0.750, 0.580, 0.399)
B (0.750, 0.920, 0.399)
B (0.920, 0.750, 0.899)
Rh (0.001, 0.750, 0.604)
Rh (0.250, 0.501, 0.896)
Rh (0.250, 0.999, 0.896)
Rh (0.499, 0.750, 0.604)
Rh (0.501, 0.250, 0.396)
Rh (0.750, 0.001, 0.104)
Rh (0.750, 0.499, 0.104)
Rh (0.999, 0.250, 0.396)


> What is the formula in the second record?

Tm2B6Rh


> Look up the calculated total energy of the second one.

-7.420 eV per atom